# 1
{
  "formula": "BaLaBr5",
  "functional": "GGA-PBEsol",
  "state": "optimized geometry",
  "formation_energy_uncorrected_ev_per_fu": -14.03,
  "cell": [[7.765, 0.000, 0.000], [0.000, 4.420, 0.000], [-0.449, 0.000, 14.207]],
  "species": ["Ba", "Ba", "La", "La", "Br", "Br", "Br", "Br", "Br", "Br", "Br", "Br", "Br", "Br"],
  "frac_coords": [[0.047, 0.250, 0.348], [0.953, 0.750, 0.652], [0.461, 0.750, 0.154], [0.539, 0.250, 0.846], [0.177, 0.250, 0.762], [0.185, 0.250, 0.123], [0.211, 0.750, 0.479], [0.344, 0.750, 0.944], [0.473, 0.250, 0.304], [0.527, 0.750, 0.696], [0.656, 0.250, 0.056], [0.789, 0.250, 0.521], [0.815, 0.750, 0.877], [0.823, 0.750, 0.238]]
}

# 2
{
  "formula": "K9Fe2Se7",
  "functional": "GGA-PBEsol",
  "state": "optimized geometry",
  "formation_energy_uncorrected_ev_per_fu": -16.46,
  "cell": [[12.976, 0.000, 0.000], [0.000, 12.976, 0.000], [0.000, 0.000, 12.976]],
  "species": ["K", "K", "K", "K", "K", "K", "K", "K", "K", "K", "K", "K", "K", "K", "K", "K", "K", "K", "K", "K", "K", "K", "K", "K", "K", "K", "K", "K", "K", "K", "K", "K", "K", "K", "K", "K", "Fe", "Fe", "Fe", "Fe", "Fe", "Fe", "Fe", "Fe", "Se", "Se", "Se", "Se", "Se", "Se", "Se", "Se", "Se", "Se", "Se", "Se", "Se", "Se", "Se", "Se", "Se", "Se", "Se", "Se", "Se", "Se", "Se", "Se", "Se", "Se", "Se", "Se"],
  "frac_coords": [[0.002, 0.304, 0.832], [0.043, 0.795, 0.181], [0.056, 0.056, 0.056], [0.082, 0.582, 0.918], [0.168, 0.502, 0.196], [0.181, 0.043, 0.795], [0.196, 0.168, 0.502], [0.205, 0.681, 0.457], [0.241, 0.241, 0.241], [0.259, 0.759, 0.741], [0.295, 0.319, 0.957], [0.304, 0.832, 0.002], [0.319, 0.957, 0.295], [0.332, 0.498, 0.696], [0.418, 0.418, 0.418], [0.444, 0.944, 0.556], [0.457, 0.205, 0.681], [0.498, 0.696, 0.332], [0.502, 0.196, 0.168], [0.543, 0.705, 0.819], [0.556, 0.444, 0.944], [0.582, 0.918, 0.082], [0.668, 0.998, 0.804], [0.681, 0.457, 0.205], [0.696, 0.332, 0.498], [0.705, 0.819, 0.543], [0.741, 0.259, 0.759], [0.759, 0.741, 0.259], [0.795, 0.181, 0.043], [0.804, 0.668, 0.998], [0.819, 0.543, 0.705], [0.832, 0.002, 0.304], [0.918, 0.082, 0.582], [0.944, 0.556, 0.444], [0.957, 0.295, 0.319], [0.998, 0.804, 0.668], [0.071, 0.929, 0.429], [0.100, 0.400, 0.600], [0.400, 0.600, 0.100], [0.429, 0.071, 0.929], [0.571, 0.571, 0.571], [0.600, 0.100, 0.400], [0.900, 0.900, 0.900], [0.929, 0.429, 0.071], [0.061, 0.308, 0.075], [0.070, 0.832, 0.914], [0.075, 0.061, 0.308], [0.086, 0.570, 0.668], [0.168, 0.414, 0.430], [0.192, 0.925, 0.561], [0.209, 0.291, 0.709], [0.291, 0.709, 0.209], [0.308, 0.075, 0.061], [0.332, 0.586, 0.930], [0.414, 0.430, 0.168], [0.425, 0.939, 0.808], [0.430, 0.168, 0.414], [0.439, 0.692, 0.575], [0.561, 0.192, 0.925], [0.570, 0.668, 0.086], [0.575, 0.439, 0.692], [0.586, 0.930, 0.332], [0.668, 0.086, 0.570], [0.692, 0.575, 0.439], [0.709, 0.209, 0.291], [0.791, 0.791, 0.791], [0.808, 0.425, 0.939], [0.832, 0.914, 0.070], [0.914, 0.070, 0.832], [0.925, 0.561, 0.192], [0.930, 0.332, 0.586], [0.939, 0.808, 0.425]]
}

# 3
{
  "formula": "TcIr3",
  "functional": "GGA-PBEsol",
  "state": "optimized geometry",
  "formation_enthalpy_0k_mev_per_atom": -128.7,
  "cell": [[2.724, 0.000, 0.000], [-1.362, 2.359, 0.000], [0.000, 0.000, 8.726]],
  "species": ["Tc", "Ir", "Ir", "Ir"],
  "frac_coords": [[0.000, 0.000, 0.000], [0.000, 0.000, 0.500], [0.333, 0.667, 0.242], [0.333, 0.667, 0.758]]
}

# 4
{
  "formula": "Ba3Bi2F12",
  "functional": "GGA-PBEsol",
  "state": "optimized geometry",
  "formation_energy_uncorrected_ev_per_fu": -54.19,
  "cell": [[4.326, 0.000, 0.000], [-2.099, 3.801, 0.000], [-1.456, -1.348, 17.436]],
  "species": ["Ba", "Ba", "Ba", "Bi", "Bi", "F", "F", "F", "F", "F", "F", "F", "F", "F", "F", "F", "F"],
  "frac_coords": [[0.000, 0.000, 0.000], [0.228, 0.590, 0.795], [0.458, 0.186, 0.589], [0.766, 0.901, 0.405], [0.811, 0.481, 0.203], [0.030, 0.397, 0.471], [0.035, 0.923, 0.290], [0.035, 0.984, 0.147], [0.151, 0.539, 0.645], [0.309, 0.645, 0.951], [0.334, 0.052, 0.436], [0.395, 0.663, 0.208], [0.537, 0.237, 0.744], [0.694, 0.352, 0.060], [0.758, 0.815, 0.537], [0.764, 0.307, 0.328], [0.920, 0.945, 0.848]]
}

# 5
{
  "formula": "SrAsW2",
  "functional": "GGA-PBEsol",
  "state": "optimized geometry",
  "formation_enthalpy_0k_mev_per_atom": 264.0,
  "cell": [[3.279, 0.000, 0.000], [0.000, 3.279, 0.000], [0.000, 0.000, 7.432]],
  "species": ["Sr", "As", "W", "W"],
  "frac_coords": [[0.000, 0.000, 0.000], [0.500, 0.500, 0.695], [0.000, 0.000, 0.501], [0.500, 0.500, 0.327]]
}

# 6
{
  "formula": "MgPt2Se2",
  "functional": "GGA-PBEsol",
  "state": "optimized geometry",
  "formation_energy_uncorrected_ev_per_fu": -0.26,
  "cell": [[-1.888, 1.888, 6.659], [1.888, -1.888, 6.659], [1.888, 1.888, -6.659]],
  "species": ["Mg", "Pt", "Pt", "Se", "Se"],
  "frac_coords": [[0.000, 0.000, 0.000], [0.250, 0.750, 0.500], [0.750, 0.250, 0.500], [0.390, 0.390, 0.000], [0.610, 0.610, 0.000]]
}

# 7
{
  "formula": "Sc2TlPb",
  "functional": "GGA-PBEsol",
  "state": "optimized geometry",
  "formation_enthalpy_0k_mev_per_atom": -356.8,
  "e_above_lowest_polymorph_mev_per_atom": 39,
  "cell": [[3.286, 0.000, 0.000], [0.000, 3.286, 0.000], [0.000, 0.000, 8.450]],
  "species": ["Sc", "Sc", "Tl", "Pb"],
  "frac_coords": [[0.000, 0.000, 0.245], [0.000, 0.000, 0.755], [0.500, 0.500, 0.000], [0.500, 0.500, 0.500]]
}

# 8
{
  "formula": "Rb2MnP4O12",
  "functional": "GGA-PBEsol",
  "state": "optimized geometry",
  "formation_energy_uncorrected_ev_per_fu": -41.11,
  "cell": [[7.831, 0.000, 0.000], [0.000, 13.016, 0.000], [-5.437, 0.000, 11.040]],
  "species": ["Rb", "Rb", "Rb", "Rb", "Rb", "Rb", "Rb", "Rb", "Mn", "Mn", "Mn", "Mn", "P", "P", "P", "P", "P", "P", "P", "P", "P", "P", "P", "P", "P", "P", "P", "P", "O", "O", "O", "O", "O", "O", "O", "O", "O", "O", "O", "O", "O", "O", "O", "O", "O", "O", "O", "O", "O", "O", "O", "O", "O", "O", "O", "O", "O", "O", "O", "O", "O", "O", "O", "O", "O", "O", "O", "O", "O", "O", "O", "O", "O", "O", "O", "O"],
  "frac_coords": [[0.060, 0.118, 0.137], [0.060, 0.382, 0.637], [0.434, 0.138, 0.839], [0.434, 0.362, 0.339], [0.566, 0.638, 0.661], [0.566, 0.862, 0.161], [0.940, 0.618, 0.363], [0.940, 0.882, 0.863], [0.243, 0.150, 0.483], [0.243, 0.350, 0.983], [0.757, 0.650, 0.017], [0.757, 0.850, 0.517], [0.078, 0.589, 0.913], [0.078, 0.911, 0.413], [0.114, 0.685, 0.701], [0.114, 0.815, 0.201], [0.428, 0.669, 0.340], [0.428, 0.831, 0.840], [0.447, 0.567, 0.128], [0.447, 0.933, 0.628], [0.553, 0.067, 0.372], [0.553, 0.433, 0.872], [0.572, 0.169, 0.160], [0.572, 0.331, 0.660], [0.886, 0.185, 0.799], [0.886, 0.315, 0.299], [0.922, 0.089, 0.587], [0.922, 0.411, 0.087], [0.060, 0.248, 0.341], [0.060, 0.252, 0.841], [0.069, 0.023, 0.385], [0.069, 0.477, 0.885], [0.098, 0.145, 0.601], [0.098, 0.355, 0.101], [0.119, 0.599, 0.623], [0.119, 0.901, 0.123], [0.169, 0.649, 0.837], [0.169, 0.851, 0.337], [0.240, 0.614, 0.046], [0.240, 0.886, 0.546], [0.302, 0.747, 0.231], [0.302, 0.753, 0.731], [0.325, 0.627, 0.407], [0.325, 0.873, 0.907], [0.380, 0.218, 0.091], [0.380, 0.282, 0.591], [0.405, 0.139, 0.375], [0.405, 0.361, 0.875], [0.452, 0.045, 0.605], [0.452, 0.455, 0.105], [0.453, 0.575, 0.261], [0.453, 0.925, 0.761], [0.547, 0.075, 0.239], [0.547, 0.425, 0.739], [0.548, 0.545, 0.895], [0.548, 0.955, 0.395], [0.595, 0.639, 0.125], [0.595, 0.861, 0.625], [0.620, 0.718, 0.409], [0.620, 0.782, 0.909], [0.675, 0.127, 0.093], [0.675, 0.373, 0.593], [0.698, 0.247, 0.269], [0.698, 0.253, 0.769], [0.760, 0.114, 0.454], [0.760, 0.386, 0.954], [0.831, 0.149, 0.663], [0.831, 0.351, 0.163], [0.881, 0.099, 0.877], [0.881, 0.401, 0.377], [0.902, 0.645, 0.899], [0.902, 0.855, 0.399], [0.931, 0.523, 0.115], [0.931, 0.977, 0.615], [0.940, 0.748, 0.159], [0.940, 0.752, 0.659]]
}

Number 1: V 34.83 Å³/atom. Number 2: V 30.34 Å³/atom. Number 3: V 14.02 Å³/atom. Number 4: V 16.86 Å³/atom. Number 5: V 19.98 Å³/atom. Number 6: V 19.00 Å³/atom. Number 7: V 22.81 Å³/atom. Number 8: V 14.81 Å³/atom.